A geometry-optimized AcEr5Tm2 structure, computed with GGA-PBE.

```
data_AcEr5Tm2
_symmetry_space_group_name_H-M 'P b a m'
_symmetry_Int_Tables_number 55
_symmetry_space_group_name_Hall '-P 2 2ab'
_cell_length_a 7.1362
_cell_length_b 20.0142
_cell_length_c 7.1356
_cell_angle_alpha 90.00
_cell_angle_beta 90.00
_cell_angle_gamma 90.00
loop_
_atom_site_label
_atom_site_type_symbol
_atom_site_fract_x
_atom_site_fract_y
_atom_site_fract_z
_atom_site_occupancy
Ac1 Ac 0.2494 0.1248 0.0000 1
Er1 Er 0.0000 0.5000 0.2569 1
Er2 Er 0.0007 0.7500 0.2569 1
Er3 Er 0.2494 0.3751 0.0000 1
Er4 Er 0.2496 0.3751 0.5000 1
Tm1 Tm 0.0000 0.0000 0.2571 1
Tm2 Tm 0.2493 0.1248 0.5000 1
```

Results
Formation enthalpy at 0 K (kJ/mol of formula units): 36
Mass density (g cm⁻³): 9.13
Total DFT energy (no corrections) (eV per atom): -4.44
Calculated volume (Å³ per cell): 1019
D(E_F) (states/eV per cell): 41.50

=====

A geometry-optimized AcEr4Tm3 structure, computed with GGA-PBE.

```
data_AcEr4Tm3
_symmetry_space_group_name_H-M 'I m m m'
_symmetry_Int_Tables_number 71
_symmetry_space_group_name_Hall '-I 2 2'
_cell_length_a 3.5193
_cell_length_b 11.5387
_cell_length_c 12.9275
_cell_angle_alpha 90.00
_cell_angle_beta 90.00
_cell_angle_gamma 90.00
loop_
_atom_site_label
_atom_site_type_symbol
_atom_site_fract_x
_atom_site_fract_y
_atom_site_fract_z
_atom_site_occupancy
Ac1 Ac 0.0000 0.0000 0.0000 1
Er1 Er 0.0000 0.2399 0.3621 1
Tm1 Tm 0.0000 0.0000 0.5000 1
Tm2 Tm 0.0000 0.5000 0.2373 1
```

Results
Formation enthalpy at 0 K (kJ/mol of formula units): 100
Mass density (g cm⁻³): 8.87
Total DFT energy (no corrections) (eV per atom): -4.34
Calculated volume (Å³ per cell): 525
D(E_F) (states/eV per cell): 29.09

=====

A geometry-optimized AcErTm structure, computed with GGA-PBE.

```
data_AcErTm
_symmetry_space_group_name_H-M 'P -1'
_symmetry_Int_Tables_number 2
_symmetry_space_group_name_Hall '-P 1'
_cell_length_a 3.7737
_cell_length_b 6.8356
_cell_length_c 8.8459
_cell_angle_alpha 105.73
_cell_angle_beta 90.02
_cell_angle_gamma 106.01
loop_
_atom_site_label
_atom_site_type_symbol
_atom_site_fract_x
_atom_site_fract_y
_atom_site_fract_z
_atom_site_occupancy
Ac1 Ac 0.1795 0.3583 0.1301 1
Er1 Er 0.4651 0.9303 0.2306 1
Tm1 Tm 0.1401 0.2807 0.5224 1
```

Results
Formation enthalpy at 0 K (kJ/mol of formula units): 16
Mass density (g cm⁻³): 8.89
Total DFT energy (no corrections) (eV per atom): -4.32
Calculated volume (Å³ per cell): 210
D(E_F) (states/eV per cell): 9.06

=====

A geometry-optimized AcEr2Tm structure, computed with GGA-PBE.

```
data_AcEr2Tm
_symmetry_space_group_name_H-M 'F m -3 m'
_symmetry_Int_Tables_number 225
_symmetry_space_group_name_Hall '-F 4 2 3'
_cell_length_a 8.1624
_cell_length_b 8.1624
_cell_length_c 8.1624
_cell_angle_alpha 90.00
_cell_angle_beta 90.00
_cell_angle_gamma 90.00
loop_
_atom_site_label
_atom_site_type_symbol
_atom_site_fract_x
_atom_site_fract_y
_atom_site_fract_z
_atom_site_occupancy
Ac1 Ac 0.0000 0.0000 0.0000 1
Er1 Er 0.2500 0.2500 0.2500 1
Tm1 Tm 0.0000 0.0000 0.5000 1
```

Results
Formation enthalpy at 0 K (kJ/mol of formula units): 53
Mass density (g cm⁻³): 8.92
Total DFT energy (no corrections) (eV per atom): -4.29
Calculated volume (Å³ per cell): 544
D(E_F) (states/eV per cell): 23.58

=====

A geometry-optimized Ac2Er12Tm5 structure, computed with GGA-PBE.

```
data_Ac2Er12Tm5
_symmetry_space_group_name_H-M 'C 1 2/m 1'
_symmetry_Int_Tables_number 12
_symmetry_space_group_name_Hall '-C 2y'
_cell_length_a 17.0602
_cell_length_b 6.8466
_cell_length_c 13.9125
_cell_angle_alpha 90.00
_cell_angle_beta 127.45
_cell_angle_gamma 90.00
loop_
_atom_site_label
_atom_site_type_symbol
_atom_site_fract_x
_atom_site_fract_y
_atom_site_fract_z
_atom_site_occupancy
Ac1 Ac 0.0000 0.2489 0.0000 1
Er1 Er 0.0424 0.5000 0.6421 1
Er2 Er 0.0454 0.0000 0.7891 1
Er3 Er 0.1614 0.2506 0.5069 1
Er4 Er 0.2346 0.2415 0.7885 1
Tm1 Tm 0.0000 0.0000 0.5000 1
Tm2 Tm 0.1161 0.5000 0.2725 1
Tm3 Tm 0.1699 0.5000 0.9462 1
```

Results
Formation enthalpy at 0 K (kJ/mol of formula units): 558
Mass density (g cm⁻³): 8.51
Total DFT energy (no corrections) (eV per atom): -4.19
Calculated volume (Å³ per cell): 1290
D(E_F) (states/eV per cell): 55.54

=====

A geometry-optimized AcEr3Tm7 structure, computed with GGA-PBE.

```
data_AcEr3Tm7
_symmetry_space_group_name_H-M 'P 1 2/m 1'
_symmetry_Int_Tables_number 10
_symmetry_space_group_name_Hall '-P 2y'
_cell_length_a 6.9244
_cell_length_b 5.5178
_cell_length_c 9.7668
_cell_angle_alpha 90.00
_cell_angle_beta 108.21
_cell_angle_gamma 90.00
loop_
_atom_site_label
_atom_site_type_symbol
_atom_site_fract_x
_atom_site_fract_y
_atom_site_fract_z
_atom_site_occupancy
Ac1 Ac 0.0000 0.0000 0.0000 1
Er1 Er 0.2737 0.5000 0.4906 1
Er2 Er 0.5000 0.0000 0.0000 1
Tm1 Tm 0.0000 0.0000 0.5000 1
Tm2 Tm 0.1500 0.5000 0.7883 1
Tm3 Tm 0.3323 0.5000 0.1450 1
Tm4 Tm 0.4400 0.0000 0.3337 1
```

Results
Formation enthalpy at 0 K (kJ/mol of formula units): 174
Mass density (g cm⁻³): 8.95
Total DFT energy (no corrections) (eV per atom): -4.30
Calculated volume (Å³ per cell): 354
D(E_F) (states/eV per cell): 17.68

=====

A geometry-optimized AcEr2Tm structure, computed with GGA-PBE.

```
data_AcEr2Tm
_symmetry_space_group_name_H-M 'R -3 m'
_symmetry_Int_Tables_number 166
_symmetry_space_group_name_Hall '-R 3 2"'
_cell_length_a 3.5447
_cell_length_b 3.5447
_cell_length_c 37.6419
_cell_angle_alpha 90.00
_cell_angle_beta 90.00
_cell_angle_gamma 120.00
loop_
_atom_site_label
_atom_site_type_symbol
_atom_site_fract_x
_atom_site_fract_y
_atom_site_fract_z
_atom_site_occupancy
Ac1 Ac 0.0000 0.0000 0.0000 1
Er1 Er 0.0000 0.0000 0.0932 1
Tm1 Tm 0.0000 0.0000 0.5000 1
```

Results
Formation enthalpy at 0 K (kJ/mol of formula units): 76
Mass density (g cm⁻³): 8.88
Total DFT energy (no corrections) (eV per atom): -4.23
Calculated volume (Å³ per cell): 410
D(E_F) (states/eV per cell): 16.46

=====

A geometry-optimized AcEr3Tm7 structure, computed with GGA-PBE.

```
data_AcEr3Tm7
_symmetry_space_group_name_H-M 'P 3 m 1'
_symmetry_Int_Tables_number 156
_symmetry_space_group_name_Hall 'P 3 -2"'
_cell_length_a 7.0189
_cell_length_b 7.0189
_cell_length_c 8.5841
_cell_angle_alpha 90.00
_cell_angle_beta 90.00
_cell_angle_gamma 120.00
loop_
_atom_site_label
_atom_site_type_symbol
_atom_site_fract_x
_atom_site_fract_y
_atom_site_fract_z
_atom_site_occupancy
Ac1 Ac 0.0000 0.0000 0.0000 1
Er1 Er 0.3376 0.1688 0.6600 1
Tm1 Tm 0.1668 0.3337 0.3339 1
Tm2 Tm 0.5014 0.0028 0.0022 1
Tm3 Tm 0.6667 0.3333 0.3320 1
```

Results
Formation enthalpy at 0 K (kJ/mol of formula units): 241
Mass density (g cm⁻³): 8.67
Total DFT energy (no corrections) (eV per atom): -4.24
Calculated volume (Å³ per cell): 366
D(E_F) (states/eV per cell): 17.66